No. 1
DFT (PBE-GGA) results for a relaxed structure of V2MoSe4S2.

Formation energy from raw total energies ... -0.752 eV per atom
Calculated total energy ... -6.45 eV/atom
Total magnetic moment ... 1.916 μB/f.u.

Cell lengths 3.2809, 3.2809, 21.2035 Å; angles 90.00, 90.00, 120.00 degrees
Fractional coordinates of all 9 atoms:
1 V 0.0000 0.0000 0.9803
2 V 0.6667 0.3333 0.6512
3 Mo 0.0000 0.0000 0.3276
4 Se 0.0000 0.0000 0.5749
5 Se 0.6667 0.3333 0.0566
6 Se 0.6667 0.3333 0.9040
7 Se 0.0000 0.0000 0.7274
8 S 0.6667 0.3333 0.4000
9 S 0.6667 0.3333 0.2552

No. 2
DFT (PBE-GGA) results for a relaxed structure of V2MoSe2S4.

Formation energy from raw total energies ... -0.797 eV per atom
Calculated total energy ... -6.64 eV/atom
Total magnetic moment ... 1.741 μB/f.u.

Cell lengths 3.2324, 3.2324, 20.6037 Å; angles 90.00, 90.00, 120.00 degrees
Fractional coordinates of all 9 atoms:
1 V 0.0000 0.0000 0.9734
2 V 0.6667 0.3333 0.6573
3 Mo 0.0000 0.0000 0.3283
4 Se 0.6667 0.3333 0.4112
5 Se 0.6667 0.3333 0.2454
6 S 0.0000 0.0000 0.5856
7 S 0.6667 0.3333 0.0452
8 S 0.6667 0.3333 0.9019
9 S 0.0000 0.0000 0.7288

No. 3
DFT (PBE-GGA) results for a relaxed structure of MoWSe2S2.

Formation energy from raw total energies ... -0.724 eV per atom
Calculated total energy ... -7.23 eV/atom
Total magnetic moment ... 0.000 μB/f.u.

Cell lengths 3.2543, 3.2543, 28.8687 Å; angles 90.00, 90.00, 120.00 degrees
Fractional coordinates of all 12 atoms:
1 Mo 0.0000 0.0000 0.0030
2 Mo 0.3333 0.6667 0.2473
3 W 0.0000 0.0000 0.4959
4 W 0.3333 0.6667 0.7567
5 Se 0.0000 0.0000 0.3062
6 Se 0.0000 0.0000 0.8159
7 Se 0.0000 0.0000 0.1885
8 Se 0.0000 0.0000 0.6975
9 S 0.3333 0.6667 0.9495
10 S 0.3333 0.6667 0.4421
11 S 0.3333 0.6667 0.0565
12 S 0.3333 0.6667 0.5496

No. 4
DFT (PBE-GGA) results for a relaxed structure of MoWSe2S2.

Formation energy from raw total energies ... -0.706 eV per atom
Calculated total energy ... -7.21 eV/atom
Total magnetic moment ... 0.000 μB/f.u.

Cell lengths 3.2570, 3.2570, 13.8408 Å; angles 90.00, 90.00, 120.00 degrees
Fractional coordinates of all 6 atoms:
1 Mo 0.6667 0.3333 0.5505
2 W 0.3333 0.6667 0.0513
3 Se 0.6667 0.3333 0.9280
4 Se 0.6667 0.3333 0.1747
5 S 0.3333 0.6667 0.6620
6 S 0.3333 0.6667 0.4390

No. 5
DFT (PBE-GGA) results for a relaxed structure of MoWSe2S2.

Formation energy from raw total energies ... -0.740 eV per atom
Calculated total energy ... -7.24 eV/atom
Total magnetic moment ... 0.000 μB/f.u.

Cell lengths 3.2525, 3.2525, 34.1981 Å; angles 90.00, 90.00, 120.00 degrees
Fractional coordinates of all 12 atoms:
1 Mo 0.3333 0.6667 0.1052
2 Mo 0.6667 0.3333 0.8948
3 W 0.3333 0.6667 0.6864
4 W 0.6667 0.3333 0.3136
5 Se 0.3333 0.6667 0.9445
6 Se 0.6667 0.3333 0.0555
7 Se 0.6667 0.3333 0.1549
8 Se 0.3333 0.6667 0.8451
9 S 0.3333 0.6667 0.3590
10 S 0.6667 0.3333 0.6410
11 S 0.6667 0.3333 0.7317
12 S 0.3333 0.6667 0.2683

No. 6
DFT (PBE-GGA) results for a relaxed structure of MoW3Se4S4.

Formation energy from raw total energies ... -0.711 eV per atom
Calculated total energy ... -7.39 eV/atom
Total magnetic moment ... 0.000 μB/f.u.

Cell lengths 3.2534, 3.2534, 29.7191 Å; angles 90.00, 90.00, 120.00 degrees
Fractional coordinates of all 12 atoms:
1 Mo 0.0000 0.0000 0.9979
2 W 0.0000 0.0000 0.5032
3 W 0.3333 0.6667 0.2539
4 W 0.3333 0.6667 0.7478
5 Se 0.0000 0.0000 0.8053
6 Se 0.3333 0.6667 0.9408
7 Se 0.3333 0.6667 0.0551
8 Se 0.0000 0.0000 0.6903
9 S 0.0000 0.0000 0.3061
10 S 0.3333 0.6667 0.4511
11 S 0.3333 0.6667 0.5554
12 S 0.0000 0.0000 0.2017

Please write out number 3 again, unchanged.
DFT (PBE-GGA) results for a relaxed structure of MoWSe2S2.

Formation energy from raw total energies ... -0.724 eV per atom
Calculated total energy ... -7.23 eV/atom
Total magnetic moment ... 0.000 μB/f.u.

Cell lengths 3.2543, 3.2543, 28.8687 Å; angles 90.00, 90.00, 120.00 degrees
Fractional coordinates of all 12 atoms:
1 Mo 0.0000 0.0000 0.0030
2 Mo 0.3333 0.6667 0.2473
3 W 0.0000 0.0000 0.4959
4 W 0.3333 0.6667 0.7567
5 Se 0.0000 0.0000 0.3062
6 Se 0.0000 0.0000 0.8159
7 Se 0.0000 0.0000 0.1885
8 Se 0.0000 0.0000 0.6975
9 S 0.3333 0.6667 0.9495
10 S 0.3333 0.6667 0.4421
11 S 0.3333 0.6667 0.0565
12 S 0.3333 0.6667 0.5496

Repeat the first record exactly.
DFT (PBE-GGA) results for a relaxed structure of V2MoSe4S2.

Formation energy from raw total energies ... -0.752 eV per atom
Calculated total energy ... -6.45 eV/atom
Total magnetic moment ... 1.916 μB/f.u.

Cell lengths 3.2809, 3.2809, 21.2035 Å; angles 90.00, 90.00, 120.00 degrees
Fractional coordinates of all 9 atoms:
1 V 0.0000 0.0000 0.9803
2 V 0.6667 0.3333 0.6512
3 Mo 0.0000 0.0000 0.3276
4 Se 0.0000 0.0000 0.5749
5 Se 0.6667 0.3333 0.0566
6 Se 0.6667 0.3333 0.9040
7 Se 0.0000 0.0000 0.7274
8 S 0.6667 0.3333 0.4000
9 S 0.6667 0.3333 0.2552